(1)
Below is crystalline BaHfTa2 at its relaxed geometry, with properties calculated at the GGA-PBE level.

Summary:
ΔH_f (0 K) (kJ/mol of formula units): 450
Total magnetization (μB/f.u.): 0.0
Electronic total energy (eV/atom): -7.730
Distance to the lowest polymorph of the same formula (meV per atom): 0.0

a b c (Å): 7.168 7.168 7.168
angles (deg): 90.00 90.00 90.00
Space group Fm-3m (No. 225)
Inequivalent atoms, fractional coordinates:
Ba (0.000, 0.000, 0.000) x4
Hf (0.000, 0.000, 0.500) x4
Ta (0.250, 0.250, 0.250) x8


(2)
Below is crystalline BaHfTa2 at its relaxed geometry, with properties calculated at the GGA-PBE level.

Summary:
ΔH_f (0 K) (kJ/mol of formula units): 563
Total magnetization (μB/f.u.): 0.0
Electronic total energy (eV/atom): -7.437
Distance to the lowest polymorph of the same formula (meV per atom): 292.4

a b c (Å): 5.162 5.162 20.117
angles (deg): 90.00 90.00 90.00
Space group I4_1/amd (No. 141, origin choice 2)
Inequivalent atoms, fractional coordinates:
Ba (0.000, 0.250, 0.375) x4
Hf (0.000, 0.250, 0.875) x4
Ta (0.000, 0.000, 0.000) x8


(3)
Below is crystalline BaHf3Ta at its relaxed geometry, with properties calculated at the GGA-PBE level.

Summary:
ΔH_f (0 K) (kJ/mol of formula units): 1147
Total magnetization (μB/f.u.): 0.0
Electronic total energy (eV/atom): -6.350
Distance to the lowest polymorph of the same formula (meV per atom): 1521.0

a b c (Å): 5.149 5.149 5.149
angles (deg): 90.00 90.00 90.00
Space group Pm-3m (No. 221)
Inequivalent atoms, fractional coordinates:
Ba (0.000, 0.000, 0.000) x1
Hf (0.000, 0.000, 0.500) x3
Ta (0.500, 0.500, 0.500) x1


(4)
Below is crystalline Ba2HfTa at its relaxed geometry, with properties calculated at the GGA-PBE level.

Summary:
ΔH_f (0 K) (kJ/mol of formula units): 531
Total magnetization (μB/f.u.): 0.8
Electronic total energy (eV/atom): -5.037

a b c (Å): 7.886 7.886 7.886
angles (deg): 90.00 90.00 90.00
Space group Fm-3m (No. 225)
Inequivalent atoms, fractional coordinates:
Ba (0.250, 0.250, 0.250) x8
Hf (0.000, 0.000, 0.000) x4
Ta (0.000, 0.000, 0.500) x4


(5)
Below is crystalline BaHf3Ta at its relaxed geometry, with properties calculated at the GGA-PBE level.

Summary:
ΔH_f (0 K) (kJ/mol of formula units): 413
Total magnetization (μB/f.u.): 0.0
Electronic total energy (eV/atom): -7.871
Distance to the lowest polymorph of the same formula (meV per atom): 0.0

a b c (Å): 5.303 5.303 5.303
angles (deg): 90.00 90.00 90.00
Space group Pm-3m (No. 221)
Inequivalent atoms, fractional coordinates:
Ba (0.000, 0.000, 0.000) x1
Hf (0.000, 0.500, 0.500) x3
Ta (0.500, 0.500, 0.500) x1


(6)
Below is crystalline BaHfTa2Tc at its relaxed geometry, with properties calculated at the GGA-PBE level.

Summary:
ΔH_f (0 K) (kJ/mol of formula units): 1105
Total magnetization (μB/f.u.): 1.1
Electronic total energy (eV/atom): -6.899

a b c (Å): 5.023 5.023 5.762
angles (deg): 90.00 90.00 90.00
Space group P4/mmm (No. 123)
Inequivalent atoms, fractional coordinates:
Ba (0.000, 0.000, 0.000) x1
Hf (0.000, 0.000, 0.500) x1
Ta (0.000, 0.500, 0.500) x2
Tc (0.500, 0.500, 0.000) x1


(7)
Below is crystalline BaHf2TaTe at its relaxed geometry, with properties calculated at the GGA-PBE level.

Summary:
Total magnetization (μB/f.u.): 2.2
Electronic total energy (eV/atom): -6.038
E_form (uncorrected) (kJ per mole of atoms): 127.98

a b c (Å): 5.263 5.263 6.061
angles (deg): 90.00 90.00 90.00
Space group P4/mmm (No. 123)
Inequivalent atoms, fractional coordinates:
Ba (0.000, 0.000, 0.000) x1
Hf (0.000, 0.500, 0.500) x2
Ta (0.500, 0.500, 0.000) x1
Te (0.000, 0.000, 0.500) x1


(8)
Below is crystalline Ba2HfZrTa at its relaxed geometry, with properties calculated at the GGA-PBE level.

Summary:
ΔH_f (0 K) (kJ/mol of formula units): 859
Total magnetization (μB/f.u.): 3.6
Electronic total energy (eV/atom): -5.059

a b c (Å): 6.111 6.111 5.123
angles (deg): 90.00 90.00 90.00
Space group P4/mmm (No. 123)
Inequivalent atoms, fractional coordinates:
Ba (0.000, 0.500, 0.000) x2
Hf (0.000, 0.000, 0.500) x1
Zr (0.000, 0.000, 0.000) x1
Ta (0.500, 0.500, 0.500) x1